1.
Entry from Alexandria: an optimized crystal structure of Zr2Nb2Ir (PBE).

uncorrected energy	-0.680	Ry/atom
calculated formation energy	-0.035	eV/atom

Lattice parameters (Å, degrees): 6.7382 6.7382 4.4830 90.00 90.00 90.00
Space group P4/mbm (No. 127)
Symmetry-distinct sites (fractional):
Zr 0.1694 0.3306 0.0000 x4
Nb 0.1451 0.6451 0.5000 x4
Ir 0.0000 0.0000 0.5000 x2

***

2.
Entry from Alexandria: an optimized crystal structure of Zr2NbIr (PBE).

uncorrected energy	-0.693	Ry/atom
calculated formation energy	-0.417	eV/atom

Lattice parameters (Å, degrees): 4.6999 4.6999 3.4184 90.00 90.00 90.00
Space group P4/mmm (No. 123)
Symmetry-distinct sites (fractional):
Zr 0.0000 0.5000 0.0000 x2
Nb 0.0000 0.0000 0.5000 x1
Ir 0.5000 0.5000 0.5000 x1

***

3.
Entry from Alexandria: an optimized crystal structure of Nd5Ir3 (PBE).

uncorrected energy	-0.509	Ry/atom
calculated formation energy	-0.617	eV/atom

Lattice parameters (Å, degrees): 11.2782 11.2782 6.5705 90.00 90.00 90.00
Space group P4/ncc (No. 130, origin choice 2)
Symmetry-distinct sites (fractional):
Nd 0.0422 0.1598 0.1168 x16
Nd 0.2500 0.7500 0.0000 x4
Ir 0.0964 0.5964 0.7500 x8
Ir 0.2500 0.2500 0.3784 x4

***

4.
Entry from Alexandria: an optimized crystal structure of Nd3Ir2 (PBE).

uncorrected energy	-0.514	Ry/atom
calculated formation energy	-0.588	eV/atom

Lattice parameters (Å, degrees): 7.8299 4.2038 16.0101 90.00 90.00 90.00
Space group Pnma (No. 62)
Symmetry-distinct sites (fractional):
Nd 0.0241 0.2500 0.1049 x4
Nd 0.1335 0.7500 0.4358 x4
Nd 0.1597 0.2500 0.7213 x4
Ir 0.1371 0.2500 0.2970 x4
Ir 0.2399 0.7500 0.0420 x4

***

5.
Entry from Alexandria: an optimized crystal structure of NdIr3 (PBE).

uncorrected energy	-0.614	Ry/atom
calculated formation energy	-0.514	eV/atom

Lattice parameters (Å, degrees): 5.3816 5.3816 26.5669 90.00 90.00 120.00
Space group R-3m (No. 166, hexagonal axes)
Symmetry-distinct sites (fractional):
Nd 0.0000 0.0000 0.0000 x3
Nd 0.0000 0.0000 0.1396 x6
Ir 0.0000 0.0000 0.3321 x6
Ir 0.0000 0.0000 0.5000 x3
Ir 0.0033 0.5016 0.0808 x18

***

6.
Entry from Alexandria: an optimized crystal structure of Nd3Ir2 (PBE).

uncorrected energy	-0.511	Ry/atom
calculated formation energy	-0.550	eV/atom

Lattice parameters (Å, degrees): 7.1645 7.1645 19.4164 90.00 90.00 120.00
Space group R-3c (No. 167, hexagonal axes)
Symmetry-distinct sites (fractional):
Nd 0.0000 0.3431 0.2500 x18
Ir 0.0000 0.0000 0.1716 x12

***

7.
Entry from Alexandria: an optimized crystal structure of NdIr3 (PBE).

uncorrected energy	-0.587	Ry/atom
calculated formation energy	-0.149	eV/atom

Lattice parameters (Å, degrees): 4.1320 4.1320 4.1320 90.00 90.00 90.00
Space group Pm-3m (No. 221)
Symmetry-distinct sites (fractional):
Nd 0.0000 0.0000 0.0000 x1
Ir 0.0000 0.5000 0.5000 x3

***

8.
Entry from Alexandria: an optimized crystal structure of Nd4Ir (PBE).

uncorrected energy	-0.422	Ry/atom
calculated formation energy	-0.155	eV/atom

Lattice parameters (Å, degrees): 5.6352 5.6352 5.6352 90.00 90.00 90.00
Space group Pm-3m (No. 221)
Symmetry-distinct sites (fractional):
Nd 0.0000 0.0000 0.0000 x1
Nd 0.0000 0.5000 0.5000 x3
Ir 0.5000 0.5000 0.5000 x1

***

9.
Entry from Alexandria: an optimized crystal structure of NdIr4 (PBE).

uncorrected energy	-0.389	Ry/atom
calculated formation energy	2.747	eV/atom

Lattice parameters (Å, degrees): 4.9350 4.9350 4.9350 90.00 90.00 90.00
Space group Pm-3m (No. 221)
Symmetry-distinct sites (fractional):
Nd 0.0000 0.0000 0.0000 x1
Ir 0.0000 0.0000 0.5000 x3
Ir 0.5000 0.5000 0.5000 x1

***

10.
Entry from Alexandria: an optimized crystal structure of Nd5Ir2 (PBE).

uncorrected energy	-0.474	Ry/atom
calculated formation energy	-0.509	eV/atom

Lattice parameters (Å, degrees): 16.7033 6.6929 7.3525 90.00 96.96 90.00
Space group C2/c (No. 15)
Symmetry-distinct sites (fractional):
Nd 0.0000 0.0697 0.2500 x4
Nd 0.0929 0.3907 0.9198 x8
Nd 0.2177 0.0708 0.3160 x8
Ir 0.1117 0.2074 0.5763 x8

***

11.
Entry from Alexandria: an optimized crystal structure of Nd3Ir2 (PBE).

uncorrected energy	-0.512	Ry/atom
calculated formation energy	-0.561	eV/atom

Lattice parameters (Å, degrees): 17.8388 4.3990 10.7819 90.00 97.05 90.00
Space group C2/m (No. 12)
Symmetry-distinct sites (fractional):
Nd 0.0000 0.0000 0.0000 x2
Nd 0.0355 0.0000 0.6603 x4
Nd 0.1247 0.5000 0.2824 x4
Nd 0.1740 0.5000 0.9594 x4
Nd 0.2068 0.5000 0.6201 x4
Ir 0.0296 0.5000 0.8247 x4
Ir 0.1390 0.0000 0.4676 x4
Ir 0.1786 0.0000 0.1363 x4

***

12.
Entry from Alexandria: an optimized crystal structure of Nd7Ir3 (PBE).

uncorrected energy	-0.479	Ry/atom
calculated formation energy	-0.519	eV/atom

Lattice parameters (Å, degrees): 10.1636 10.1636 6.3827 90.00 90.00 120.00
Space group P6_3mc (No. 186)
Symmetry-distinct sites (fractional):
Nd 0.0791 0.5396 0.0000 x6
Nd 0.1257 0.2513 0.3076 x6
Nd 0.3333 0.6667 0.5296 x2
Ir 0.1883 0.3765 0.7491 x6